The following is a DFT calculation (PBE-GGA) of an optimized crystal structure of TlCd2In.

Structure (CIF):
```
data_TlCd2In
_cell_length_a 4.6304
_cell_length_b 8.2769
_cell_length_c 5.9692
_cell_angle_alpha 90.00
_cell_angle_beta 108.91
_cell_angle_gamma 90.00
_symmetry_space_group_name_H-M 'P 1 21/m 1'
_symmetry_Int_Tables_number 11
_symmetry_space_group_name_Hall '-P 2yb'
loop_
_atom_site_label
_atom_site_fract_x
_atom_site_fract_y
_atom_site_fract_z
Tl1 0.0819 0.2500 0.1132
Cd1 0.4071 0.0513 0.7462
In1 0.1828 0.7500 0.4575
```

Properties
DOS(E_F) in states/eV per cell: 2.4
Theoretical density in kg/m³: 8348
Total magnetization in μB per atom: 0.00
Energy relative to the lowest polymorph listed for this composition in meV/atom: 29
Energy of formation in eV per atom: 0.052
Raw total energy in eV/atom: -1.682